Record 1
# Pm4Ho4Er PBE optimized geometry
# energy relative to the lowest polymorph listed for this composition	0.78	eV/f.u.
# calculated volume	294	Å³/f.u.
data_Pm4Ho4Er
_space_group_name_H-M_alt 'C 1 2/m 1'
_space_group_IT_number 12
_cell_length_a 16.8244
_cell_length_b 5.5866
_cell_length_c 6.8157
_cell_angle_alpha 90.00
_cell_angle_beta 113.17
_cell_angle_gamma 90.00
loop_
_space_group_symop_operation_xyz
'x,y,z'
'-x,-y,-z'
'-x,y,-z'
'x,-y,z'
'x+1/2,y+1/2,z'
'-x+1/2,-y+1/2,-z'
'-x+1/2,y+1/2,-z'
'x+1/2,-y+1/2,z'
loop_
_atom_site_label
_atom_site_type_symbol
_atom_site_fract_x
_atom_site_fract_y
_atom_site_fract_z
_atom_site_occupancy
Pm1 Pm 0.1328 0.0000 0.4591 1
Pm2 Pm 0.2191 0.5000 0.7859 1
Ho1 Ho 0.0723 0.0000 0.8753 1
Ho2 Ho 0.1247 0.5000 0.1765 1
Er1 Er 0.0000 0.5000 0.5000 1


Record 2
# CuBi2S PBE optimized geometry
# calculated volume	122	Å³/f.u.
# uncorrected formation energy	0.23	eV/atom
data_CuBi2S
_space_group_name_H-M_alt 'I -4 2 d'
_space_group_IT_number 122
_space_group_name_Hall 'I -4 2bw'
_cell_length_a 6.0871
_cell_length_b 6.0871
_cell_length_c 13.1385
_cell_angle_alpha 90.00
_cell_angle_beta 90.00
_cell_angle_gamma 90.00
loop_
_atom_site_label
_atom_site_type_symbol
_atom_site_fract_x
_atom_site_fract_y
_atom_site_fract_z
_atom_site_occupancy
Cu1 Cu 0.0000 0.0000 0.0000 1
Bi1 Bi 0.2219 0.2500 0.1250 1
S1 S 0.0000 0.0000 0.5000 1


Record 3
# La2GaCoAg PBE optimized geometry
# energy relative to the lowest polymorph listed for this composition	0.00	eV/f.u.
# calculated volume	120	Å³/f.u.
data_La2GaCoAg
_space_group_name_H-M_alt 'P 1 21/m 1'
_space_group_IT_number 11
_cell_length_a 7.1647
_cell_length_b 4.6036
_cell_length_c 7.8464
_cell_angle_alpha 90.00
_cell_angle_beta 112.51
_cell_angle_gamma 90.00
loop_
_space_group_symop_operation_xyz
'x,y,z'
'-x,-y,-z'
'-x,y+1/2,-z'
'x,-y+1/2,z'
loop_
_atom_site_label
_atom_site_type_symbol
_atom_site_fract_x
_atom_site_fract_y
_atom_site_fract_z
_atom_site_occupancy
La1 La 0.1425 0.2500 0.3523 1
La2 La 0.2752 0.2500 0.9461 1
Ga1 Ga 0.4219 0.7500 0.2905 1
Co1 Co 0.0774 0.7500 0.0659 1
Ag1 Ag 0.3540 0.7500 0.6473 1


Record 4
# Pa2AlNi4 PBE optimized geometry
# calculated volume	127	Å³/f.u.
data_Pa2AlNi4
_space_group_name_H-M_alt 'I 4/m m m'
_space_group_IT_number 139
_space_group_name_Hall '-I 4 2'
_cell_length_a 4.4002
_cell_length_b 4.4002
_cell_length_c 13.0907
_cell_angle_alpha 90.00
_cell_angle_beta 90.00
_cell_angle_gamma 90.00
loop_
_atom_site_label
_atom_site_type_symbol
_atom_site_fract_x
_atom_site_fract_y
_atom_site_fract_z
_atom_site_occupancy
Pa1 Pa 0.0000 0.0000 0.1389 1
Al1 Al 0.0000 0.0000 0.5000 1
Ni1 Ni 0.0000 0.0000 0.3214 1
Ni2 Ni 0.0000 0.5000 0.0000 1


Record 5
# Tc3PRh PBE optimized geometry
# energy relative to the lowest polymorph listed for this composition	0.00	eV/f.u.
# calculated volume	81	Å³/f.u.
data_Tc3PRh
_space_group_name_H-M_alt 'P m -3 m'
_space_group_IT_number 221
_space_group_name_Hall '-P 4 2 3'
_cell_length_a 4.3216
_cell_length_b 4.3216
_cell_length_c 4.3216
_cell_angle_alpha 90.00
_cell_angle_beta 90.00
_cell_angle_gamma 90.00
loop_
_atom_site_label
_atom_site_type_symbol
_atom_site_fract_x
_atom_site_fract_y
_atom_site_fract_z
_atom_site_occupancy
Tc1 Tc 0.0000 0.0000 0.5000 1
P1 P 0.0000 0.0000 0.0000 1
Rh1 Rh 0.5000 0.5000 0.5000 1


Record 6
# TlSbAu2 PBE optimized geometry
# energy relative to the lowest polymorph listed for this composition	0.83	eV/f.u.
# calculated volume	94	Å³/f.u.
# uncorrected formation energy	0.14	eV/atom
data_TlSbAu2
_space_group_name_H-M_alt 'I -4 m 2'
_space_group_IT_number 119
_space_group_name_Hall 'I -4 -2'
_cell_length_a 4.1323
_cell_length_b 4.1323
_cell_length_c 11.0468
_cell_angle_alpha 90.00
_cell_angle_beta 90.00
_cell_angle_gamma 90.00
loop_
_atom_site_label
_atom_site_type_symbol
_atom_site_fract_x
_atom_site_fract_y
_atom_site_fract_z
_atom_site_occupancy
Tl1 Tl 0.0000 0.0000 0.0000 1
Sb1 Sb 0.0000 0.5000 0.2500 1
Au1 Au 0.0000 0.0000 0.5000 1
Au2 Au 0.0000 0.5000 0.7500 1


Record 7
# Co2TeOs PBE optimized geometry
# calculated volume	59	Å³/f.u.
# uncorrected formation energy	0.55	eV/atom
data_Co2TeOs
_space_group_name_H-M_alt 'P 4/m m m'
_space_group_IT_number 123
_space_group_name_Hall '-P 4 2'
_cell_length_a 2.8581
_cell_length_b 2.8581
_cell_length_c 7.2242
_cell_angle_alpha 90.00
_cell_angle_beta 90.00
_cell_angle_gamma 90.00
loop_
_atom_site_label
_atom_site_type_symbol
_atom_site_fract_x
_atom_site_fract_y
_atom_site_fract_z
_atom_site_occupancy
Co1 Co 0.0000 0.0000 0.2215 1
Te1 Te 0.5000 0.5000 0.5000 1
Os1 Os 0.5000 0.5000 0.0000 1


Record 8
# ZnSn2Bi PBE optimized geometry
# energy relative to the lowest polymorph listed for this composition	0.25	eV/f.u.
# calculated volume	138	Å³/f.u.
data_ZnSn2Bi
_space_group_name_H-M_alt 'I -4 2 d'
_space_group_IT_number 122
_space_group_name_Hall 'I -4 2bw'
_cell_length_a 6.6021
_cell_length_b 6.6021
_cell_length_c 12.6817
_cell_angle_alpha 90.00
_cell_angle_beta 90.00
_cell_angle_gamma 90.00
loop_
_atom_site_label
_atom_site_type_symbol
_atom_site_fract_x
_atom_site_fract_y
_atom_site_fract_z
_atom_site_occupancy
Zn1 Zn 0.0000 0.0000 0.0000 1
Sn1 Sn 0.2086 0.2500 0.1250 1
Bi1 Bi 0.0000 0.0000 0.5000 1


Record 9
# La4MgCu2 PBE optimized geometry
# calculated volume	205	Å³/f.u.
data_La4MgCu2
_space_group_name_H-M_alt 'R -3 m'
_space_group_IT_number 166
_space_group_name_Hall '-R 3 2"'
_cell_length_a 5.2624
_cell_length_b 5.2624
_cell_length_c 25.5963
_cell_angle_alpha 90.00
_cell_angle_beta 90.00
_cell_angle_gamma 120.00
loop_
_atom_site_label
_atom_site_type_symbol
_atom_site_fract_x
_atom_site_fract_y
_atom_site_fract_z
_atom_site_occupancy
La1 La 0.0000 0.0000 0.1152 1
La2 La 0.0000 0.0000 0.2859 1
Mg1 Mg 0.0000 0.0000 0.5000 1
Cu1 Cu 0.0000 0.0000 0.4008 1


Record 10
# AcLa2TlRh PBE optimized geometry
# calculated volume	177	Å³/f.u.
data_AcLa2TlRh
_space_group_name_H-M_alt 'P 4 m m'
_space_group_IT_number 99
_cell_length_a 5.5280
_cell_length_b 5.5280
_cell_length_c 5.7910
_cell_angle_alpha 90.00
_cell_angle_beta 90.00
_cell_angle_gamma 90.00
loop_
_space_group_symop_operation_xyz
'x,y,z'
'-y,x,z'
'-x,-y,z'
'y,-x,z'
'-x,y,z'
'y,x,z'
'x,-y,z'
'-y,-x,z'
loop_
_atom_site_label
_atom_site_type_symbol
_atom_site_fract_x
_atom_site_fract_y
_atom_site_fract_z
_atom_site_occupancy
Ac1 Ac 0.0000 0.0000 0.0000 1
La1 La 0.0000 0.5000 0.5006 1
Tl1 Tl 0.5000 0.5000 0.9973 1
Rh1 Rh 0.0000 0.0000 0.4997 1


Record 11
# TaCdFe PBE optimized geometry
# energy relative to the lowest polymorph listed for this composition	0.35	eV/f.u.
# calculated volume	52	Å³/f.u.
data_TaCdFe
_space_group_name_H-M_alt 'P 3 m 1'
_space_group_IT_number 156
_cell_length_a 3.0172
_cell_length_b 3.0172
_cell_length_c 6.6102
_cell_angle_alpha 90.00
_cell_angle_beta 90.00
_cell_angle_gamma 120.00
loop_
_space_group_symop_operation_xyz
'x,y,z'
'-y,x-y,z'
'-x+y,-x,z'
'-y,-x,z'
'-x+y,y,z'
'x,x-y,z'
loop_
_atom_site_label
_atom_site_type_symbol
_atom_site_fract_x
_atom_site_fract_y
_atom_site_fract_z
_atom_site_occupancy
Ta1 Ta 0.0000 0.0000 0.0000 1
Cd1 Cd 0.3333 0.6667 0.3922 1
Fe1 Fe 0.6667 0.3333 0.7361 1


Record 12
# KIrCO5 PBE optimized geometry
# calculated volume	90	Å³/f.u.
# uncorrected formation energy	-0.88	eV/atom
data_KIrCO5
_space_group_name_H-M_alt 'C 1 2/c 1'
_space_group_IT_number 15
_cell_length_a 6.6223
_cell_length_b 8.6707
_cell_length_c 7.1018
_cell_angle_alpha 90.00
_cell_angle_beta 117.63
_cell_angle_gamma 90.00
loop_
_space_group_symop_operation_xyz
'x,y,z'
'-x,-y,-z'
'-x,y,-z+1/2'
'x,-y,z+1/2'
'x+1/2,y+1/2,z'
'-x+1/2,-y+1/2,-z'
'-x+1/2,y+1/2,-z+1/2'
'x+1/2,-y+1/2,z+1/2'
loop_
_atom_site_label
_atom_site_type_symbol
_atom_site_fract_x
_atom_site_fract_y
_atom_site_fract_z
_atom_site_occupancy
K1 K 0.0000 0.0968 0.2500 1
Ir1 Ir 0.2500 0.2500 0.0000 1
C1 C 0.0000 0.4514 0.2500 1
O1 O 0.0000 0.1818 0.7500 1
O2 O 0.0181 0.3499 0.0954 1
O3 O 0.2003 0.4651 0.8563 1


Record 13
# LiCaEuPb PBE optimized geometry
# calculated volume	120	Å³/f.u.
data_LiCaEuPb
_space_group_name_H-M_alt 'F -4 3 m'
_space_group_IT_number 216
_space_group_name_Hall 'F -4 2 3'
_cell_length_a 7.8292
_cell_length_b 7.8292
_cell_length_c 7.8292
_cell_angle_alpha 90.00
_cell_angle_beta 90.00
_cell_angle_gamma 90.00
loop_
_atom_site_label
_atom_site_type_symbol
_atom_site_fract_x
_atom_site_fract_y
_atom_site_fract_z
_atom_site_occupancy
Li1 Li 0.0000 0.0000 0.0000 1
Ca1 Ca 0.2500 0.2500 0.7500 1
Eu1 Eu 0.2500 0.2500 0.2500 1
Pb1 Pb 0.0000 0.0000 0.5000 1


Number 1: total energy -81.8 eV per cell. Number 2: total energy -60.2 eV per cell. Number 3: total energy -49.0 eV per cell. Number 4: total energy -90.8 eV per cell. Number 5: total energy -40.8 eV per cell. Number 6: total energy -25.0 eV per cell. Number 7: total energy -26.4 eV per cell. Number 8: total energy -50.2 eV per cell. Number 9: total energy -88.1 eV per cell. Number 10: total energy -25.6 eV per cell. Number 11: total energy -20.3 eV per cell. Number 12: total energy -203.9 eV per cell. Number 13: total energy -77.8 eV per cell.